Material: SrBeSi2
Method: DFT, PBE
State: relaxed

For the magnetization, the calculation gives 0.0000 μB per atom. Its raw total energy is -28.5 eV per cell. The value obtained for the density of states at the Fermi level is 2.3 states/eV/f.u. The calculated density is 3.28 g cm⁻³. The formation energy without anion corrections is 499 meV per atom.

The space group is I-4m2 (No. 119) and the conventional cell measures 4.2653, 4.2653 and 8.5039 Å, with angles of 90.00, 90.00 and 90.00 degrees. The distinct sites, in fractional coordinates, are Sr at (0.0000, 0.0000, 0.0000), Be at (0.0000, 0.5000, 0.7500), Si at (0.0000, 0.0000, 0.5000) and Si at (0.0000, 0.5000, 0.2500).